The following is a DFT calculation (PBE-GGA) of a geometry-optimized TbSm4ScS8 structure.

Cell: 8.1158 8.1158 8.1024 Å, 59.95 59.95 60.00°
With the nearest neighbours (Å) after each atom.
Fractional positions:
S 0.7588 0.7588 0.7237  4 Sm 2.66-2.82
S 0.7619 0.7619 0.2548  3 Sm 2.67-2.82, 1 Tb 2.78
S 0.2470 0.7515 0.7545  1 Sc 2.49, 1 Tb 2.79
S 0.2214 0.7619 0.2548  3 Sm 2.67-2.82, 1 Tb 2.78
S 0.7515 0.2470 0.7545  1 Sc 2.49, 1 Tb 2.79
S 0.2470 0.2470 0.7545  1 Sc 2.49, 1 Tb 2.79
S 0.2505 0.2505 0.2486  1 Sc 2.47
S 0.7619 0.2214 0.2548  3 Sm 2.67-2.82, 1 Tb 2.78
Sm 0.0039 0.4885 0.5036  6 S 2.82-2.83
Sm 0.6247 0.6247 0.1258  4 S 2.66-2.67
Sm 0.4885 0.0039 0.5036  6 S 2.82-2.83
Sm 0.0039 0.0039 0.5036  6 S 2.82-2.83
Sc 0.3752 0.3752 0.8743  4 S 2.47-2.49
Tb 0.0037 0.0037 0.9889  6 S 2.78-2.79

Calculated values
**Symmetry**: R3m (160)
**Electronic total energy**: -6.399 eV per atom
**ΔE_f (raw)**: -1.909 eV/atom
**ρ**: 4676 kg/m3